# 1
Zn2TcIr | PBE | relaxed

Cell lengths 2.7751, 2.7751, 25.9272 Å; angles 90.00, 90.00, 120.00 degrees
Last column: nearest neighbours and their distance in Å.
Space group R-3m (No. 166, hexagonal axes)
Symmetry-distinct sites (fractional):
Zn  0.0000  0.0000  0.2489 [6 per cell]  3 Ir 2.67, 3 Tc 2.71, 6 Zn 2.78
Tc  0.0000  0.0000  0.0000 [3 per cell]  6 Zn 2.71, 6 Tc 2.78
Ir  0.0000  0.0000  0.5000 [3 per cell]  6 Zn 2.67, 6 Ir 2.78

## Properties
Relative energy among the computed polymorphs   14.9 kJ per mole of atoms
Energy of formation   0.026 eV per atom
Magnetic moment   0.0 μB/f.u.

# 2
ZnTcIr2 | PBE | relaxed

Cell lengths 3.8979, 3.8979, 7.6126 Å; angles 90.00, 90.00, 90.00 degrees
Last column: nearest neighbours and their distance in Å.
Space group I4/mmm (No. 139)
Symmetry-distinct sites (fractional):
Zn  0.0000  0.0000  0.0000 [2 per cell]  8 Ir 2.72, 4 Tc 2.76
Tc  0.0000  0.0000  0.5000 [2 per cell]  8 Ir 2.72, 4 Zn 2.76
Ir  0.0000  0.5000  0.2500 [4 per cell]  4 Tc 2.72, 4 Zn 2.72, 4 Ir 2.76

## Properties
Energy of formation   -0.046 eV per atom
Magnetic moment   1.4 μB/f.u.